PBE Pr2Ga4Ni3Rh, optimized geometry; uncorrected energy = -5.253 eV per atom; V = 17.67 A^3/atom; N(E_F) = 7.07 states/eV per cell; symmetry = P-4m2 (115); M_tot = 0.00 Bohr magnetons per cell; calculated formation energy = -0.617 eV per atom
1.0
4.214 0.000 0.000
0.000 4.214 0.000
0.000 0.000 9.949
Pr Ga Ni Rh
2 4 3 1
direct
0.000 0.500 0.248
0.500 0.000 0.752
0.000 0.000 0.000
0.000 0.500 0.632
0.500 0.000 0.368
0.500 0.500 0.000
0.000 0.500 0.874
0.500 0.000 0.126
0.500 0.500 0.500
0.000 0.000 0.500

***

PBE PrGa4NiRh2, optimized geometry; uncorrected energy = -5.291 eV per atom; V = 17.07 A^3/atom; N(E_F) = 4.80 states/eV per cell; symmetry = R-3m (166); M_tot = 0.00 Bohr magnetons per cell; calculated formation energy = -0.620 eV per atom
1.0
2.119 1.224 8.775
-2.119 1.224 8.775
0.000 -2.447 8.775
Pr Ga Ni Rh
1 4 1 2
direct
0.000 0.000 0.000
0.132 0.132 0.132
0.404 0.404 0.404
0.596 0.596 0.596
0.868 0.868 0.868
0.500 0.500 0.500
0.229 0.229 0.229
0.771 0.771 0.771